(1)
LaMgGeIr | PBE | optimized geometry

a b c (Å): 4.913 4.913 4.913
angles (deg): 60.00 60.00 60.00
Element x y z (fractional)
Ge1 0.500 0.500 0.500
Ir1 0.000 0.000 0.000
La1 0.250 0.250 0.250
Mg1 0.750 0.750 0.750

## Properties
For the total energy, the calculation gives -5.355 eV/atom. Its energy relative to the lowest polymorph listed for this composition is 0.000 eV/atom.

(2)
AlCoPd2 | PBE | optimized geometry

a b c (Å): 4.283 4.283 4.283
angles (deg): 60.00 60.00 60.00
Element x y z (fractional)
Al1 0.500 0.500 0.500
Co1 0.250 0.250 0.250
Pd1 0.000 0.000 0.000
Pd2 0.750 0.750 0.750

## Properties
For the total energy, the calculation gives -5.574 eV/atom.

(3)
Nb4PbAuN2 | PBE | optimized geometry

a b c (Å): 3.271 3.271 13.636
angles (deg): 90.00 90.00 120.00
Element x y z (fractional)
Au1 0.667 0.333 0.500
N1 0.333 0.667 0.259
N2 0.333 0.667 0.741
Nb1 0.667 0.333 0.177
Nb2 0.000 0.000 0.338
Nb3 0.000 0.000 0.662
Nb4 0.667 0.333 0.823
Pb1 0.000 0.000 0.000

## Properties
For the total energy, the calculation gives -8.460 eV/atom.

(4)
Cd2B2Pb3 | PBE | optimized geometry

a b c (Å): 11.054 11.054 11.054
angles (deg): 21.27 21.27 21.27
Element x y z (fractional)
B1 0.008 0.008 0.008
B2 0.475 0.475 0.475
Cd1 0.173 0.173 0.173
Cd2 0.787 0.787 0.787
Pb1 0.386 0.386 0.386
Pb2 0.643 0.643 0.643
Pb3 0.902 0.902 0.902

## Properties
For the total energy, the calculation gives -3.015 eV/atom.

(5)
Er3In3CuPdPt | PBE | optimized geometry

a b c (Å): 7.628 7.628 3.795
angles (deg): 90.00 90.00 120.00
Element x y z (fractional)
Cu1 0.000 0.000 0.000
Er1 0.408 0.414 0.000
Er2 0.007 0.592 0.000
Er3 0.586 0.993 0.000
In1 0.255 0.004 0.500
In2 0.996 0.250 0.500
In3 0.750 0.745 0.500
Pd1 0.667 0.333 0.500
Pt1 0.333 0.667 0.500

## Properties
For the total energy, the calculation gives -4.868 eV/atom.

(6)
NbFeHgPb | PBE | optimized geometry

a b c (Å): 4.777 4.777 4.777
angles (deg): 60.00 60.00 60.00
Element x y z (fractional)
Fe1 0.750 0.750 0.750
Hg1 0.500 0.500 0.500
Nb1 0.250 0.250 0.250
Pb1 0.000 0.000 0.000

## Properties
For the total energy, the calculation gives -4.981 eV/atom. Its energy relative to the lowest polymorph listed for this composition is 0.000 eV/atom.

(7)
Ho2TmBi3 | PBE | optimized geometry

a b c (Å): 4.438 4.438 10.897
angles (deg): 90.00 90.00 120.00
Element x y z (fractional)
Bi1 0.000 0.000 0.000
Bi2 0.333 0.667 0.335
Bi3 0.667 0.333 0.665
Ho1 0.667 0.333 0.167
Ho2 0.333 0.667 0.833
Tm1 0.000 0.000 0.500

## Properties
For the total energy, the calculation gives -5.131 eV/atom.

(8)
DyInPbSe3 | PBE | optimized geometry

a b c (Å): 7.612 7.612 11.568
angles (deg): 90.00 90.00 148.92
Element x y z (fractional)
Dy1 0.500 0.500 0.000
Dy2 0.500 0.500 0.500
In1 0.854 0.146 0.250
In2 0.146 0.854 0.750
Pb1 0.171 0.829 0.250
Pb2 0.829 0.171 0.750
Se1 0.864 0.136 0.000
Se2 0.136 0.864 0.000
Se3 0.494 0.506 0.250
Se4 0.864 0.136 0.500
Se5 0.136 0.864 0.500
Se6 0.506 0.494 0.750

## Properties
For the total energy, the calculation gives -4.515 eV/atom.

(9)
TbCd | PBE | optimized geometry

a b c (Å): 3.455 3.455 5.198
angles (deg): 90.00 90.00 120.00
Element x y z (fractional)
Cd1 0.667 0.333 0.750
Tb1 0.333 0.667 0.250

## Properties
For the total energy, the calculation gives -2.862 eV/atom. As for the calculated formation energy: -9.6 kJ per mole of atoms.

(10)
AcNpSc | PBE | optimized geometry

a b c (Å): 5.227 5.227 5.227
angles (deg): 60.00 60.00 60.00
Element x y z (fractional)
Ac1 0.250 0.250 0.250
Np1 0.750 0.750 0.750
Sc1 0.000 0.000 0.000

## Properties
For the total energy, the calculation gives -6.628 eV/atom. As for the calculated formation energy: 106.7 kJ per mole of atoms. Its energy relative to the lowest polymorph listed for this composition is 0.000 eV/atom.

(11)
GaCu2Se2S | PBE | optimized geometry

a b c (Å): 6.746 6.746 6.719
angles (deg): 99.82 99.82 119.89
Element x y z (fractional)
Cu1 0.395 0.546 0.478
Cu2 0.726 0.244 0.497
Cu3 0.546 0.395 0.978
Cu4 0.244 0.726 0.997
Ga1 0.922 0.094 0.004
Ga2 0.094 0.922 0.504
S1 0.288 0.452 0.119
S2 0.452 0.288 0.619
Se1 0.943 0.772 0.114
Se2 0.607 0.117 0.118
Se3 0.772 0.943 0.614
Se4 0.117 0.607 0.618

## Properties
For the total energy, the calculation gives -4.005 eV/atom. Its energy relative to the lowest polymorph listed for this composition is 0.000 eV/atom.

(12)
GaMo4C3 | PBE | optimized geometry

a b c (Å): 3.130 3.130 23.077
angles (deg): 90.00 90.00 120.00
Element x y z (fractional)
C1 0.000 0.000 0.000
C2 0.667 0.333 0.111
C3 0.667 0.333 0.389
C4 0.000 0.000 0.500
C5 0.333 0.667 0.611
C6 0.333 0.667 0.889
Ga1 0.333 0.667 0.250
Ga2 0.667 0.333 0.750
Mo1 0.333 0.667 0.057
Mo2 0.000 0.000 0.155
Mo3 0.000 0.000 0.345
Mo4 0.333 0.667 0.443
Mo5 0.667 0.333 0.557
Mo6 0.000 0.000 0.655
Mo7 0.000 0.000 0.845
Mo8 0.667 0.333 0.943

## Properties
For the total energy, the calculation gives -9.222 eV/atom.

(13)
Tb2TmIn3Ag2Pt | PBE | optimized geometry

a b c (Å): 3.990 7.721 7.721
angles (deg): 119.88 90.00 90.00
Element x y z (fractional)
Ag1 0.500 0.665 0.336
Ag2 0.500 0.336 0.665
In1 0.500 0.742 0.000
In2 0.500 0.257 0.257
In3 0.500 0.000 0.742
Pt1 0.000 0.997 0.997
Tb1 0.000 0.398 0.000
Tb2 0.000 0.000 0.398
Tm1 0.000 0.605 0.605

## Properties
For the total energy, the calculation gives -4.334 eV/atom.

(14)
HfTc | PBE | optimized geometry

a b c (Å): 4.354 4.354 4.924
angles (deg): 90.00 90.00 120.00
Element x y z (fractional)
Hf1 0.333 0.667 0.250
Hf2 0.667 0.333 0.750
Tc1 0.000 0.000 0.000
Tc2 0.000 0.000 0.500

## Properties
For the total energy, the calculation gives -10.086 eV/atom. As for the calculated formation energy: 7.0 kJ per mole of atoms.

(15)
AcSb2Au | PBE | optimized geometry

a b c (Å): 4.577 4.577 11.268
angles (deg): 101.71 101.71 90.01
Element x y z (fractional)
Ac1 0.123 0.123 0.246
Ac2 0.877 0.877 0.754
Au1 0.750 0.249 0.500
Au2 0.249 0.750 0.500
Sb1 0.500 0.000 0.000
Sb2 0.000 0.500 0.000
Sb3 0.668 0.668 0.338
Sb4 0.331 0.331 0.662

## Properties
For the total energy, the calculation gives -4.635 eV/atom.

(16)
Er3Re2W3N12 | PBE | optimized geometry

a b c (Å): 10.930 10.930 10.930
angles (deg): 109.47 109.47 109.47
Last column: magnetic moment on the atom in μB.
Element x y z (fractional)
Er1 0.375 0.750 0.125  0.01
Er2 0.250 0.375 0.125  0.01
Er3 0.375 0.125 0.250  0.01
Er4 0.875 0.625 0.250  0.00
Er5 0.750 0.125 0.375  0.00
Er6 0.125 0.250 0.375  0.01
Er7 0.875 0.750 0.625  0.01
Er8 0.250 0.875 0.625  0.00
Er9 0.125 0.375 0.750  0.00
Er10 0.625 0.875 0.750  0.01
Er11 0.625 0.250 0.875  0.01
Er12 0.750 0.625 0.875  0.01
N1 0.203 0.118 0.023  0.00
N2 0.320 0.905 0.023  0.00
N3 0.882 0.405 0.085  0.00
N4 0.703 0.680 0.085  0.00
N5 0.618 0.415 0.095  0.00
N6 0.977 0.680 0.095  0.00
N7 0.023 0.203 0.118  0.00
N8 0.595 0.915 0.118  0.00
N9 0.203 0.585 0.180  0.00
N10 0.477 0.595 0.180  0.00
N11 0.585 0.180 0.203  0.00
N12 0.118 0.023 0.203  0.00
N13 0.477 0.382 0.297  0.00
N14 0.320 0.915 0.297  0.01
N15 0.905 0.023 0.320  0.00
N16 0.915 0.297 0.320  0.00
N17 0.297 0.477 0.382  0.00
N18 0.585 0.905 0.382  0.00
N19 0.820 0.523 0.405  0.00
N20 0.085 0.882 0.405  0.00
N21 0.095 0.618 0.415  0.00
N22 0.820 0.797 0.415  0.00
N23 0.595 0.180 0.477  0.00
N24 0.382 0.297 0.477  0.00
N25 0.618 0.703 0.523  0.00
N26 0.405 0.820 0.523  0.00
N27 0.180 0.203 0.585  0.00
N28 0.905 0.382 0.585  0.00
N29 0.915 0.118 0.595  0.00
N30 0.180 0.477 0.595  0.00
N31 0.415 0.095 0.618  0.00
N32 0.703 0.523 0.618  0.00
N33 0.085 0.703 0.680  0.00
N34 0.095 0.977 0.680  0.00
N35 0.680 0.085 0.703  0.01
N36 0.523 0.618 0.703  0.00
N37 0.415 0.820 0.797  0.00
N38 0.882 0.977 0.797  0.00
N39 0.523 0.405 0.820  0.00
N40 0.797 0.415 0.820  0.00
N41 0.405 0.085 0.882  0.00
N42 0.977 0.797 0.882  0.00
N43 0.023 0.320 0.905  0.00
N44 0.382 0.585 0.905  0.00
N45 0.297 0.320 0.915  0.00
N46 0.118 0.595 0.915  0.00
N47 0.680 0.095 0.977  0.00
N48 0.797 0.882 0.977  0.00
Re1 0.000 0.000 0.000  0.25
Re2 0.500 0.000 0.000  0.25
Re3 0.000 0.500 0.000  0.24
Re4 0.500 0.500 0.000  0.23
Re5 0.000 0.000 0.500  0.25
Re6 0.500 0.000 0.500  0.27
Re7 0.000 0.500 0.500  0.23
Re8 0.500 0.500 0.500  0.21
W1 0.875 0.250 0.125  0.03
W2 0.750 0.875 0.125  0.03
W3 0.625 0.375 0.250  0.03
W4 0.125 0.875 0.250  0.03
W5 0.250 0.625 0.375  0.03
W6 0.625 0.750 0.375  0.03
W7 0.375 0.250 0.625  0.03
W8 0.750 0.375 0.625  0.03
W9 0.875 0.125 0.750  0.03
W10 0.375 0.625 0.750  0.03
W11 0.250 0.125 0.875  0.03
W12 0.125 0.750 0.875  0.03

## Properties
For the total energy, the calculation gives -9.507 eV/atom.

(17)
CdSnAsO | PBE | optimized geometry

a b c (Å): 4.024 4.024 9.874
angles (deg): 90.00 90.00 90.00
Element x y z (fractional)
As1 0.000 0.500 0.309
As2 0.500 0.000 0.691
Cd1 0.000 0.000 0.500
Cd2 0.500 0.500 0.500
O1 0.000 0.000 0.000
O2 0.500 0.500 0.000
Sn1 0.500 0.000 0.113
Sn2 0.000 0.500 0.887

## Properties
For the total energy, the calculation gives -4.100 eV/atom. Its energy relative to the lowest polymorph listed for this composition is 0.015 eV/atom.

(18)
YTaSe4 | PBE | optimized geometry

a b c (Å): 23.795 3.592 3.592
angles (deg): 59.84 90.00 90.00
Last column: magnetic moment on the atom in μB.
Element x y z (fractional)
Se1 0.082 0.258 0.258  0.14
Se2 0.918 0.258 0.258  0.14
Se3 0.431 0.758 0.758  0.00
Se4 0.569 0.758 0.758  0.00
Ta1 0.500 0.425 0.425  0.31
Y1 0.000 0.925 0.925  0.04

## Properties
For the total energy, the calculation gives -6.255 eV/atom. Its energy relative to the lowest polymorph listed for this composition is 0.118 eV/atom.

(19)
LuMgCuTeS2 | PBE | optimized geometry

a b c (Å): 6.817 6.817 10.594
angles (deg): 90.00 90.00 147.90
Element x y z (fractional)
Cu1 0.984 0.016 0.250
Cu2 0.016 0.984 0.750
Lu1 0.500 0.500 0.000
Lu2 0.500 0.500 0.500
Mg1 0.308 0.692 0.250
Mg2 0.692 0.308 0.750
S1 0.871 0.129 0.083
S2 0.871 0.129 0.417
S3 0.129 0.871 0.583
S4 0.129 0.871 0.917
Te1 0.622 0.378 0.250
Te2 0.378 0.622 0.750

## Properties
For the total energy, the calculation gives -4.640 eV/atom.

(20)
Nd3AlCl2F | PBE | optimized geometry

a b c (Å): 5.691 5.691 5.828
angles (deg): 90.00 90.00 90.00
Element x y z (fractional)
Al1 0.000 0.000 0.500
Cl1 0.500 0.000 0.000
Cl2 0.000 0.500 0.000
F1 0.500 0.500 0.500
Nd1 0.000 0.000 0.000
Nd2 0.500 0.000 0.500
Nd3 0.000 0.500 0.500

## Properties
For the total energy, the calculation gives -4.960 eV/atom.

(21)
SrAgNO | PBE | optimized geometry

a b c (Å): 4.290 4.290 7.873
angles (deg): 90.00 90.00 90.00
Element x y z (fractional)
Ag1 0.750 0.250 0.500
Ag2 0.250 0.750 0.500
N1 0.750 0.750 0.446
N2 0.250 0.250 0.554
O1 0.750 0.250 0.000
O2 0.250 0.750 0.000
Sr1 0.250 0.250 0.134
Sr2 0.750 0.750 0.866

## Properties
For the total energy, the calculation gives -4.806 eV/atom. Its energy relative to the lowest polymorph listed for this composition is 0.059 eV/atom.

(22)
TaCoSbPd | PBE | optimized geometry

a b c (Å): 4.503 4.503 4.503
angles (deg): 60.00 60.00 60.00
Element x y z (fractional)
Co1 0.750 0.750 0.750
Pd1 0.250 0.250 0.250
Sb1 0.000 0.000 0.000
Ta1 0.500 0.500 0.500

## Properties
For the total energy, the calculation gives -7.036 eV/atom. Its energy relative to the lowest polymorph listed for this composition is 0.000 eV/atom.